NaLaFeSe3 | PBE | relaxed

Results
V, Å³ per atom: 27.3
Uncorrected energy, eV per cell: -63.98

Cell: 8.164 4.142 9.838 Å, 90.00 100.50 90.00°
Space group P2_1/m (No. 11)
Asymmetric unit:
Na 0.249 0.250 0.285 x2
La 0.300 0.750 0.862 x2
Fe 0.064 0.250 0.583 x2
Se 0.032 0.250 0.823 x2
Se 0.228 0.750 0.539 x2
Se 0.445 0.750 0.162 x2



NaLaFeSe3 | PBE | relaxed

Results
V, Å³ per atom: 25.9
Uncorrected energy, eV per cell: -125.04

Cell: 19.217 4.260 7.935 Å, 90.00 106.91 90.00°
Space group C2/m (No. 12)
Asymmetric unit:
Na 0.116 0.000 0.079 x4
La 0.173 0.000 0.607 x4
Fe 0.027 0.500 0.714 x4
Se 0.000 0.000 0.500 x2
Se 0.000 0.500 0.000 x2
Se 0.158 0.500 0.851 x4
Se 0.169 0.500 0.349 x4



NaLaFeSe3 | PBE | relaxed

Results
V, Å³ per atom: 26.5
Uncorrected energy, eV per cell: -127.50

Cell: 4.215 13.101 11.501 Å, 90.00 90.00 90.00°
Space group Cmcm (No. 63)
Asymmetric unit:
Na 0.000 0.247 0.250 x4
La 0.000 0.000 0.000 x4
Fe 0.000 0.472 0.750 x4
Se 0.000 0.076 0.750 x4
Se 0.000 0.358 0.585 x8



NaLaFeTe3 | PBE | relaxed

Results
V, Å³ per atom: 31.6
Uncorrected energy, eV per cell: -115.60

Cell: 4.385 14.442 11.982 Å, 90.00 90.00 90.00°
Space group Cmcm (No. 63)
Asymmetric unit:
Na 0.000 0.244 0.250 x4
La 0.000 0.000 0.000 x4
Fe 0.000 0.468 0.750 x4
Te 0.000 0.079 0.750 x4
Te 0.000 0.354 0.580 x8